Dy2AlSi2Rh5 | PBE | optimized geometry

Cell and atoms, written as POSCAR:
```
Dy2AlSi2Rh5
1.0
3.4463 0.0000 0.0000
0.0000 9.7245 0.0000
0.0000 0.0000 9.7245
Dy Rh Si Al
4 10 4 2
direct
0.0000 0.1747 0.3253 Dy
0.0000 0.3253 0.8253 Dy
0.0000 0.6747 0.1747 Dy
0.0000 0.8253 0.6747 Dy
0.5000 0.5000 0.0000 Rh
0.5000 0.9321 0.2107 Rh
0.5000 0.7893 0.9321 Rh
0.5000 0.5679 0.7107 Rh
0.5000 0.2107 0.0679 Rh
0.5000 0.7107 0.4321 Rh
0.5000 0.2893 0.5679 Rh
0.5000 0.0679 0.7893 Rh
0.5000 0.4321 0.2893 Rh
0.5000 0.0000 0.5000 Rh
0.0000 0.1241 0.6241 Si
0.0000 0.3759 0.1241 Si
0.0000 0.8759 0.3759 Si
0.0000 0.6241 0.8759 Si
0.0000 0.0000 0.0000 Al
0.0000 0.5000 0.5000 Al
```

Properties
calculated total energy: -141.0 eV/cell
space-group type: P4/mbm, No. 127
formation energy from raw total energies: -0.997 eV/atom